Entry 1:
## Pu2Pa4Sn3 (PBE)

Data for crystalline Pu2Pa4Sn3 at its relaxed geometry.

Cell lengths 9.3053, 9.3053, 5.4649 Å; angles 94.01, 94.01, 73.17 degrees
Sites, in units of the cell vectors:
Pu (0.0943, 0.3365, 0.3869)
Pu (0.3365, 0.0943, 0.8869)
Pu (0.6635, 0.9057, 0.1131)
Pu (0.9057, 0.6635, 0.6131)
Pa (0.0017, 0.7582, 0.2209)
Pa (0.2418, 0.9983, 0.2791)
Pa (0.3273, 0.5753, 0.4470)
Pa (0.4247, 0.6727, 0.0530)
Pa (0.5753, 0.3273, 0.9470)
Pa (0.6727, 0.4247, 0.5530)
Pa (0.7582, 0.0017, 0.7209)
Pa (0.9983, 0.2418, 0.7791)
Sn (0.1257, 0.8743, 0.7500)
Sn (0.2069, 0.4612, 0.9174)
Sn (0.4612, 0.2069, 0.4174)
Sn (0.5388, 0.7931, 0.5826)
Sn (0.7931, 0.5388, 0.0826)
Sn (0.8743, 0.1257, 0.2500)

Properties
Size of the total moment: 12.49 μB per formula unit
Raw total energy: -8.947 eV per atom
Formation energy from the elements: -0.207 eV/atom



Entry 2:
## Na3TaAs (PBE)

Data for crystalline Na3TaAs at its relaxed geometry.

Cell lengths 5.8212, 5.8212, 5.8212 Å; angles 90.00, 90.00, 90.00 degrees
Sites, in units of the cell vectors:
Na (0.0000, 0.0000, 0.5000)
Na (0.0000, 0.5000, 0.0000)
Na (0.5000, 0.0000, 0.0000)
Ta (0.0000, 0.0000, 0.0000)
As (0.5000, 0.5000, 0.5000)

Properties
Size of the total moment: 3.00 μB per formula unit
Relative energy among the computed polymorphs: 0.5089 eV/atom
Raw total energy: -2.475 eV per atom
Formation energy from the elements: 1.617 eV/atom



Entry 3:
## SrMgZnGa2 (PBE)

Data for crystalline SrMgZnGa2 at its relaxed geometry.

Cell lengths 4.4438, 4.4438, 11.4017 Å; angles 90.00, 90.00, 90.00 degrees
Sites, in units of the cell vectors:
Sr (0.0000, 0.0000, 0.0000)
Sr (0.5000, 0.5000, 0.5000)
Mg (0.0000, 0.5000, 0.2500)
Mg (0.5000, 0.0000, 0.7500)
Zn (0.0000, 0.5000, 0.7500)
Zn (0.5000, 0.0000, 0.2500)
Ga (0.0000, 0.0000, 0.3883)
Ga (0.0000, 0.0000, 0.6117)
Ga (0.5000, 0.5000, 0.1117)
Ga (0.5000, 0.5000, 0.8883)

Properties
Size of the total moment: 0.00 μB per formula unit
Raw total energy: -2.463 eV per atom
Formation energy from the elements: -0.342 eV/atom



Entry 4:
## GaCoSi2Ge (PBE)

Data for crystalline GaCoSi2Ge at its relaxed geometry.

Cell lengths 4.3727, 4.3727, 4.6615 Å; angles 90.00, 90.00, 90.00 degrees
Sites, in units of the cell vectors:
Ga (0.0000, 0.0000, 0.0000)
Co (0.5000, 0.5000, 0.5000)
Si (0.0000, 0.5000, 0.5000)
Si (0.5000, 0.0000, 0.5000)
Ge (0.5000, 0.5000, 0.0000)

Properties
Size of the total moment: 0.00 μB per formula unit
E_form (uncorrected): 0.27 eV/atom
Raw total energy: -4.849 eV per atom



Entry 5:
## Hf2ZrSb3 (PBE)

Data for crystalline Hf2ZrSb3 at its relaxed geometry.

Cell lengths 3.9178, 10.8917, 6.8417 Å; angles 90.00, 90.00, 90.00 degrees
Sites, in units of the cell vectors:
Hf (0.0000, 0.0315, 0.0000)
Hf (0.0000, 0.9685, 0.5000)
Hf (0.5000, 0.2963, 0.9810)
Hf (0.5000, 0.7037, 0.4810)
Zr (0.5000, 0.3895, 0.5172)
Zr (0.5000, 0.6105, 0.0172)
Sb (0.0000, 0.2128, 0.6922)
Sb (0.0000, 0.4385, 0.1983)
Sb (0.0000, 0.5615, 0.6983)
Sb (0.0000, 0.7872, 0.1922)
Sb (0.5000, 0.1236, 0.2952)
Sb (0.5000, 0.8764, 0.7952)

Properties
Size of the total moment: 0.00 μB per formula unit
E_form (uncorrected): -0.49 eV/atom
Raw total energy: -7.290 eV per atom



Entry 6:
## Rb2BS3 (PBE)

Data for crystalline Rb2BS3 at its relaxed geometry.

Cell lengths 9.2934, 8.5473, 7.5615 Å; angles 70.16, 59.90, 49.94 degrees
Sites, in units of the cell vectors:
Rb (0.2320, 0.7680, 0.7680)
Rb (0.2500, 0.2500, 0.2500)
Rb (0.7500, 0.7500, 0.7500)
Rb (0.7680, 0.2320, 0.2320)
B (0.3194, 0.3194, 0.6806)
B (0.6806, 0.6806, 0.3194)
S (0.1937, 0.1937, 0.8063)
S (0.2555, 0.5163, 0.4837)
S (0.4837, 0.7445, 0.2555)
S (0.5163, 0.2555, 0.7445)
S (0.7445, 0.4837, 0.5163)
S (0.8063, 0.8063, 0.1937)

Properties
Size of the total moment: 0.00 μB per formula unit
Relative energy among the computed polymorphs: 0.0000 eV/atom
E_form (uncorrected): -0.80 eV/atom
Raw total energy: -4.298 eV per atom



Entry 7:
## NaEr2Al (PBE)

Data for crystalline NaEr2Al at its relaxed geometry.

Cell lengths 3.4793, 3.4793, 34.4590 Å; angles 90.00, 90.00, 120.00 degrees
Sites, in units of the cell vectors:
Na (0.0000, 0.0000, 0.0000)
Na (0.3333, 0.6667, 0.6667)
Na (0.6667, 0.3333, 0.3333)
Er (0.0000, 0.0000, 0.1021)
Er (0.0000, 0.0000, 0.8979)
Er (0.3333, 0.6667, 0.5646)
Er (0.3333, 0.6667, 0.7688)
Er (0.6667, 0.3333, 0.2312)
Er (0.6667, 0.3333, 0.4354)
Al (0.0000, 0.0000, 0.5000)
Al (0.3333, 0.6667, 0.1667)
Al (0.6667, 0.3333, 0.8333)

Properties
Size of the total moment: 0.00 μB per formula unit
Relative energy among the computed polymorphs: 0.1406 eV/atom
Raw total energy: -3.467 eV per atom
Formation energy from the elements: 0.080 eV/atom



Entry 8:
## LaDySi2Pt2 (PBE)

Data for crystalline LaDySi2Pt2 at its relaxed geometry.

Cell lengths 4.1902, 4.1902, 8.3666 Å; angles 90.00, 90.00, 120.00 degrees
Sites, in units of the cell vectors:
La (0.0000, 0.0000, 0.0000)
Dy (0.0000, 0.0000, 0.5000)
Si (0.3333, 0.6667, 0.2596)
Si (0.6667, 0.3333, 0.7404)
Pt (0.3333, 0.6667, 0.7312)
Pt (0.6667, 0.3333, 0.2688)

Properties
Size of the total moment: 0.00 μB per formula unit
E_form (uncorrected): -1.15 eV/atom
Raw total energy: -6.558 eV per atom



Entry 9:
## Tb2Dy8Y (PBE)

Data for crystalline Tb2Dy8Y at its relaxed geometry.

Cell lengths 8.8960, 8.8960, 6.6180 Å; angles 99.51, 99.51, 43.79 degrees
Sites, in units of the cell vectors:
Tb (0.2021, 0.2021, 0.3001)
Tb (0.7979, 0.7979, 0.6999)
Dy (0.1739, 0.6484, 0.0928)
Dy (0.2436, 0.2436, 0.8096)
Dy (0.3516, 0.8261, 0.9072)
Dy (0.4110, 0.4110, 0.5939)
Dy (0.5890, 0.5890, 0.4061)
Dy (0.6484, 0.1739, 0.0928)
Dy (0.7564, 0.7564, 0.1904)
Dy (0.8261, 0.3516, 0.9072)
Y (0.0000, 0.0000, 0.5000)

Properties
Size of the total moment: 0.00 μB per formula unit
Relative energy among the computed polymorphs: 0.0396 eV/atom
Raw total energy: -4.607 eV per atom
Formation energy from the elements: 0.170 eV/atom



Entry 10:
## Th8RuPt5 (PBE)

Data for crystalline Th8RuPt5 at its relaxed geometry.

Cell lengths 7.8014, 7.8014, 7.8014 Å; angles 110.13, 110.13, 108.15 degrees
Sites, in units of the cell vectors:
Th (0.0074, 0.3618, 0.2402)
Th (0.1216, 0.7672, 0.7598)
Th (0.1254, 0.2604, 0.7519)
Th (0.2328, 0.9926, 0.3544)
Th (0.5085, 0.3735, 0.2481)
Th (0.6265, 0.8746, 0.1350)
Th (0.6382, 0.8784, 0.6456)
Th (0.7396, 0.4915, 0.8650)
Ru (0.0000, 0.0000, 0.0000)
Pt (0.2612, 0.6278, 0.1367)
Pt (0.3722, 0.5090, 0.6335)
Pt (0.4910, 0.1245, 0.8633)
Pt (0.7500, 0.2500, 0.5000)
Pt (0.8755, 0.7388, 0.3665)

Properties
Size of the total moment: 0.00 μB per formula unit
Raw total energy: -7.967 eV per atom
Formation energy from the elements: -0.908 eV/atom



Entry 11:
## Tb2YEr3 (PBE)

Data for crystalline Tb2YEr3 at its relaxed geometry.

Cell lengths 11.0810, 11.0810, 11.1958 Å; angles 120.34, 120.34, 18.80 degrees
Sites, in units of the cell vectors:
Tb (0.0555, 0.0555, 0.4283)
Tb (0.2771, 0.2771, 0.4014)
Tb (0.7229, 0.7229, 0.5986)
Tb (0.9445, 0.9445, 0.5717)
Y (0.3884, 0.3884, 0.2623)
Y (0.6116, 0.6116, 0.7377)
Er (0.0553, 0.0553, 0.9321)
Er (0.2789, 0.2789, 0.9046)
Er (0.3896, 0.3896, 0.7661)
Er (0.6104, 0.6104, 0.2339)
Er (0.7211, 0.7211, 0.0954)
Er (0.9447, 0.9447, 0.0679)

Properties
Size of the total moment: 0.00 μB per formula unit
Relative energy among the computed polymorphs: 0.0000 eV/atom
Raw total energy: -4.899 eV per atom
Formation energy from the elements: 0.003 eV/atom



Entry 12:
## LiZnCo2 (PBE)

Data for crystalline LiZnCo2 at its relaxed geometry.

Cell lengths 2.6772, 2.6772, 6.9665 Å; angles 90.00, 90.00, 90.00 degrees
Sites, in units of the cell vectors:
Li (0.0000, 0.0000, 0.0000)
Zn (0.5000, 0.5000, 0.2836)
Co (0.0000, 0.0000, 0.5339)
Co (0.5000, 0.5000, 0.7367)

Properties
Size of the total moment: 2.87 μB per formula unit
Raw total energy: -4.319 eV per atom
Formation energy from the elements: 0.031 eV/atom



Entry 13:
## La12CeDy7 (PBE)

Data for crystalline La12CeDy7 at its relaxed geometry.

Cell lengths 11.4714, 11.4714, 11.4714 Å; angles 116.63, 116.63, 116.63 degrees
Sites, in units of the cell vectors:
La (0.0009, 0.4071, 0.5942)
La (0.0621, 0.0628, 0.4180)
La (0.0628, 0.4180, 0.0621)
La (0.4058, 0.9991, 0.5929)
La (0.4071, 0.5942, 0.0009)
La (0.4180, 0.0621, 0.0628)
La (0.5820, 0.9379, 0.9372)
La (0.5929, 0.4058, 0.9991)
La (0.5942, 0.0009, 0.4071)
La (0.9372, 0.5820, 0.9379)
La (0.9379, 0.9372, 0.5820)
La (0.9991, 0.5929, 0.4058)
Ce (0.5000, 0.5000, 0.5000)
Dy (0.0000, 0.0000, 0.0000)
Dy (0.1461, 0.3912, 0.3905)
Dy (0.3905, 0.1461, 0.3912)
Dy (0.3912, 0.3905, 0.1461)
Dy (0.6088, 0.6095, 0.8539)
Dy (0.6095, 0.8539, 0.6088)
Dy (0.8539, 0.6088, 0.6095)

Properties
Size of the total moment: 0.00 μB per formula unit
Raw total energy: -4.666 eV per atom
Formation energy from the elements: 0.198 eV/atom



Entry 14:
## La3Pm3Tl2Pb (PBE)

Data for crystalline La3Pm3Tl2Pb at its relaxed geometry.

Cell lengths 8.8162, 8.8162, 4.4241 Å; angles 90.00, 90.00, 120.00 degrees
Sites, in units of the cell vectors:
La (0.0000, 0.7222, 0.0000)
La (0.2778, 0.2778, 0.0000)
La (0.7222, 0.0000, 0.0000)
Pm (0.0000, 0.4004, 0.5000)
Pm (0.4004, 0.0000, 0.5000)
Pm (0.5996, 0.5996, 0.5000)
Tl (0.3333, 0.6667, 0.0000)
Tl (0.6667, 0.3333, 0.0000)
Pb (0.0000, 0.0000, 0.5000)

Properties
Size of the total moment: 0.00 μB per formula unit
Raw total energy: -4.468 eV per atom
Formation energy from the elements: -0.304 eV/atom



Entry 15:
## MnHgW4 (PBE)

Data for crystalline MnHgW4 at its relaxed geometry.

Cell lengths 5.3044, 5.3044, 5.3044 Å; angles 60.00, 60.00, 60.00 degrees
Sites, in units of the cell vectors:
Mn (0.0000, 0.0000, 0.0000)
Hg (0.7500, 0.7500, 0.7500)
W (0.3753, 0.3753, 0.3753)
W (0.3753, 0.3753, 0.8740)
W (0.3753, 0.8740, 0.3753)
W (0.8740, 0.3753, 0.3753)

Properties
Size of the total moment: 2.29 μB per formula unit
Raw total energy: -9.480 eV per atom
Formation energy from the elements: 0.734 eV/atom



Entry 16:
## CdGeRh2 (PBE)

Data for crystalline CdGeRh2 at its relaxed geometry.

Cell lengths 3.7309, 3.7309, 17.7893 Å; angles 90.00, 90.00, 120.00 degrees
Sites, in units of the cell vectors:
Cd (0.0000, 0.0000, 0.0000)
Cd (0.3333, 0.6667, 0.6667)
Cd (0.6667, 0.3333, 0.3333)
Ge (0.0000, 0.0000, 0.1701)
Ge (0.3333, 0.6667, 0.8368)
Ge (0.6667, 0.3333, 0.5035)
Rh (0.0000, 0.0000, 0.5645)
Rh (0.0000, 0.0000, 0.7718)
Rh (0.3333, 0.6667, 0.2312)
Rh (0.3333, 0.6667, 0.4385)
Rh (0.6667, 0.3333, 0.1051)
Rh (0.6667, 0.3333, 0.8979)

Properties
Size of the total moment: 0.00 μB per formula unit
Raw total energy: -5.257 eV per atom
Formation energy from the elements: -0.199 eV/atom



Entry 17:
## TmMgTlPt (PBE)

Data for crystalline TmMgTlPt at its relaxed geometry.

Cell lengths 6.9555, 6.9555, 6.9555 Å; angles 90.00, 90.00, 90.00 degrees
Sites, in units of the cell vectors:
Tm (0.0000, 0.0000, 0.0000)
Tm (0.0000, 0.5000, 0.5000)
Tm (0.5000, 0.0000, 0.5000)
Tm (0.5000, 0.5000, 0.0000)
Mg (0.0000, 0.0000, 0.5000)
Mg (0.0000, 0.5000, 0.0000)
Mg (0.5000, 0.0000, 0.0000)
Mg (0.5000, 0.5000, 0.5000)
Tl (0.2500, 0.2500, 0.2500)
Tl (0.2500, 0.7500, 0.7500)
Tl (0.7500, 0.2500, 0.7500)
Tl (0.7500, 0.7500, 0.2500)
Pt (0.2500, 0.2500, 0.7500)
Pt (0.2500, 0.7500, 0.2500)
Pt (0.7500, 0.2500, 0.2500)
Pt (0.7500, 0.7500, 0.7500)

Properties
Size of the total moment: 0.00 μB per formula unit
Raw total energy: -4.224 eV per atom
Formation energy from the elements: -0.605 eV/atom



Entry 18:
## NaPmNiBi (PBE)

Data for crystalline NaPmNiBi at its relaxed geometry.

Cell lengths 7.0730, 7.0730, 7.0730 Å; angles 90.00, 90.00, 90.00 degrees
Sites, in units of the cell vectors:
Na (0.0000, 0.0000, 0.0000)
Na (0.0000, 0.5000, 0.5000)
Na (0.5000, 0.0000, 0.5000)
Na (0.5000, 0.5000, 0.0000)
Pm (0.2500, 0.2500, 0.2500)
Pm (0.2500, 0.7500, 0.7500)
Pm (0.7500, 0.2500, 0.7500)
Pm (0.7500, 0.7500, 0.2500)
Ni (0.0000, 0.0000, 0.5000)
Ni (0.0000, 0.5000, 0.0000)
Ni (0.5000, 0.0000, 0.0000)
Ni (0.5000, 0.5000, 0.5000)
Bi (0.2500, 0.2500, 0.7500)
Bi (0.2500, 0.7500, 0.2500)
Bi (0.7500, 0.2500, 0.2500)
Bi (0.7500, 0.7500, 0.7500)

Properties
Size of the total moment: 0.00 μB per formula unit
Raw total energy: -4.071 eV per atom
Formation energy from the elements: -0.138 eV/atom



Entry 19:
## CaDy2Sn (PBE)

Data for crystalline CaDy2Sn at its relaxed geometry.

Cell lengths 4.8970, 4.8970, 4.7978 Å; angles 90.00, 90.00, 90.00 degrees
Sites, in units of the cell vectors:
Ca (0.0000, 0.0000, 0.0000)
Dy (0.0000, 0.5000, 0.5000)
Dy (0.5000, 0.0000, 0.5000)
Sn (0.5000, 0.5000, 0.0000)

Properties
Size of the total moment: 0.00 μB per formula unit
Relative energy among the computed polymorphs: 0.0000 eV/atom
Raw total energy: -4.158 eV per atom
Formation energy from the elements: -0.356 eV/atom



Entry 20:
## Na8Hg6Pb (PBE)

Data for crystalline Na8Hg6Pb at its relaxed geometry.

Cell lengths 8.2788, 8.2788, 8.2788 Å; angles 65.27, 65.27, 65.27 degrees
Sites, in units of the cell vectors:
Na (0.0765, 0.7021, 0.3789)
Na (0.1652, 0.1652, 0.1652)
Na (0.2979, 0.6211, 0.9235)
Na (0.3789, 0.0765, 0.7021)
Na (0.6211, 0.9235, 0.2979)
Na (0.7021, 0.3789, 0.0765)
Na (0.8348, 0.8348, 0.8348)
Na (0.9235, 0.2979, 0.6211)
Hg (0.0938, 0.4495, 0.7916)
Hg (0.2084, 0.9062, 0.5505)
Hg (0.4495, 0.7916, 0.0938)
Hg (0.5505, 0.2084, 0.9062)
Hg (0.7916, 0.0938, 0.4495)
Hg (0.9062, 0.5505, 0.2084)
Pb (0.5000, 0.5000, 0.5000)

Properties
Size of the total moment: 0.00 μB per formula unit
Relative energy among the computed polymorphs: 0.0029 eV/atom
Raw total energy: -1.240 eV per atom
Formation energy from the elements: -0.168 eV/atom